# U2CoRu5 | the Alexandria database | PBE | relaxed
data_U2CoRu5
_chemical_formula_sum 'U4 Co2 Ru10'
_symmetry_space_group_name_H-M 'P b a m'
_symmetry_Int_Tables_number 55
_symmetry_space_group_name_Hall '-P 2 2ab'
_cell_length_a 5.611
_cell_length_b 11.217
_cell_length_c 3.958
_cell_angle_alpha 90.00
_cell_angle_beta 90.00
_cell_angle_gamma 90.00
loop_
_atom_site_label
_atom_site_type_symbol
_atom_site_fract_x
_atom_site_fract_y
_atom_site_fract_z
U1 U 0.249 0.124 0.000
Co1 Co 0.000 0.500 0.500
Ru1 Ru 0.000 0.000 0.500
Ru2 Ru 0.007 0.746 0.500
Ru3 Ru 0.242 0.377 0.000
# DOS(E_F)	1.160	states/eV/atom
# ΔE_f	-304	meV per atom
# uncorrected energy	-9.81	eV/atom
# density	13.871	g cm⁻³

# Tl13Sn2 | the Alexandria database | PBE | relaxed
data_Tl13Sn2
_chemical_formula_sum 'Tl13 Sn2'
_symmetry_space_group_name_H-M 'P -1'
_symmetry_Int_Tables_number 2
_symmetry_space_group_name_Hall '-P 1'
_cell_length_a 6.274
_cell_length_b 8.989
_cell_length_c 9.017
_cell_angle_alpha 65.05
_cell_angle_beta 82.51
_cell_angle_gamma 84.32
loop_
_atom_site_label
_atom_site_type_symbol
_atom_site_fract_x
_atom_site_fract_y
_atom_site_fract_z
Tl1 Tl 0.000 0.000 0.000
Tl2 Tl 0.133 0.782 0.467
Tl3 Tl 0.197 0.196 0.207
Tl4 Tl 0.266 0.598 0.931
Tl5 Tl 0.329 0.999 0.663
Tl6 Tl 0.386 0.403 0.406
Tl7 Tl 0.471 0.798 0.132
Sn1 Sn 0.067 0.398 0.747
# DOS(E_F)	0.451	states/eV/atom
# ΔE_f	22	meV per atom
# uncorrected energy	-2.56	eV/atom
# distance to the lowest polymorph of the same formula	0.00	eV per formula unit
# density	10.527	g cm⁻³

# PRh | the Alexandria database | PBE | relaxed
data_PRh
_chemical_formula_sum 'P16 Rh16'
_symmetry_space_group_name_H-M 'F d d d'
_symmetry_Int_Tables_number 70
_cell_length_a 6.703
_cell_length_b 8.832
_cell_length_c 11.563
_cell_angle_alpha 90.00
_cell_angle_beta 90.00
_cell_angle_gamma 90.00
loop_
_symmetry_equiv_pos_as_xyz
'x,y,z'
'-x,-y,-z'
'-x+1/4,-y+1/4,z'
'x+1/4,y+1/4,-z'
'x,-y+1/4,-z+1/4'
'-x,y+1/4,z+1/4'
'-x+1/4,y,-z+1/4'
'x+1/4,-y,z+1/4'
'x,y+1/2,z+1/2'
'-x,-y+1/2,-z+1/2'
'-x+1/4,-y+3/4,z+1/2'
'x+1/4,y+3/4,-z+1/2'
'x,-y+3/4,-z+3/4'
'-x,y+3/4,z+3/4'
'-x+1/4,y+1/2,-z+3/4'
'x+1/4,-y+1/2,z+3/4'
'x+1/2,y,z+1/2'
'-x+1/2,-y,-z+1/2'
'-x+3/4,-y+1/4,z+1/2'
'x+3/4,y+1/4,-z+1/2'
'x+1/2,-y+1/4,-z+3/4'
'-x+1/2,y+1/4,z+3/4'
'-x+3/4,y,-z+3/4'
'x+3/4,-y,z+3/4'
'x+1/2,y+1/2,z'
'-x+1/2,-y+1/2,-z'
'-x+3/4,-y+3/4,z'
'x+3/4,y+3/4,-z'
'x+1/2,-y+3/4,-z+1/4'
'-x+1/2,y+3/4,z+1/4'
'-x+3/4,y+1/2,-z+1/4'
'x+3/4,-y+1/2,z+1/4'
loop_
_atom_site_label
_atom_site_type_symbol
_atom_site_fract_x
_atom_site_fract_y
_atom_site_fract_z
P1 P 0.125 0.332 0.125
Rh1 Rh 0.125 0.125 0.002
# DOS(E_F)	0.244	states/eV/atom
# ΔE_f	-445	meV per atom
# uncorrected energy	-6.83	eV/atom
# density	5.196	g cm⁻³

# TaV3Cu | the Alexandria database | PBE | relaxed
data_TaV3Cu
_chemical_formula_sum 'Ta1 V3 Cu1'
_symmetry_space_group_name_H-M 'P m -3 m'
_symmetry_Int_Tables_number 221
_symmetry_space_group_name_Hall '-P 4 2 3'
_cell_length_a 4.372
_cell_length_b 4.372
_cell_length_c 4.372
_cell_angle_alpha 90.00
_cell_angle_beta 90.00
_cell_angle_gamma 90.00
loop_
_atom_site_label
_atom_site_type_symbol
_atom_site_fract_x
_atom_site_fract_y
_atom_site_fract_z
Ta1 Ta 0.000 0.000 0.000
V1 V 0.000 0.500 0.500
Cu1 Cu 0.500 0.500 0.500
# DOS(E_F)	1.862	states/eV/atom
# ΔE_f	1190	meV per atom
# uncorrected energy	-7.47	eV/atom
# distance to the lowest polymorph of the same formula	0.00	eV per formula unit
# density	7.897	g cm⁻³